[1]
The following is a PBE calculation of a relaxed Ce2Al2Ga crystal, from the Alexandria database.

Calculated values
Fermi-level density of states: 1.807 states/eV/atom
DFT formation energy: -0.411 eV/atom
total DFT energy (no corrections): -4.887 eV/atom

Unit cell a=4.5633 b=5.7740 c=9.6820 alpha=94.99 beta=76.37 gamma=66.72
Element x y z (fractional)
Ce 0.7146 0.2086 0.3622
Ce 0.8669 0.3221 0.9440
Ce 0.2854 0.7914 0.6378
Ce 0.1331 0.6779 0.0560
Al 0.0081 0.3754 0.6084
Al 0.6342 0.8693 0.8622
Al 0.9919 0.6246 0.3916
Al 0.3658 0.1307 0.1378
Ga 0.5429 0.2147 0.6995
Ga 0.4571 0.7853 0.3005

[2]
The following is a PBE calculation of a relaxed Ce3Al6Ga5 crystal, from the Alexandria database.

Calculated values
Fermi-level density of states: 1.295 states/eV/atom
DFT formation energy: -0.424 eV/atom
total DFT energy (no corrections): -4.380 eV/atom

Unit cell a=4.2791 b=10.1110 c=12.8264 alpha=90.00 beta=90.00 gamma=90.00
Element x y z (fractional)
Ce 0.0000 0.2503 0.6800
Ce 0.5000 0.7497 0.1800
Ce 0.5000 0.7497 0.8200
Ce 0.0000 0.2563 0.0000
Ce 0.5000 0.7437 0.5000
Ce 0.0000 0.2503 0.3200
Al 0.0000 0.9840 0.8537
Al 0.5000 0.0160 0.6463
Al 0.5000 0.3860 0.8341
Al 0.5000 0.5395 0.0000
Al 0.0000 0.4605 0.5000
Al 0.0000 0.6140 0.6659
Al 0.0000 0.6140 0.3341
Al 0.5000 0.9733 0.0000
Al 0.0000 0.9840 0.1463
Al 0.5000 0.3860 0.1659
Al 0.0000 0.0267 0.5000
Al 0.5000 0.0160 0.3537
Ga 0.0000 0.5274 0.8617
Ga 0.0000 0.8688 0.6637
Ga 0.0000 0.7726 0.0000
Ga 0.5000 0.4726 0.6383
Ga 0.5000 0.2274 0.5000
Ga 0.0000 0.5274 0.1383
Ga 0.5000 0.4726 0.3617
Ga 0.0000 0.8688 0.3363
Ga 0.5000 0.1312 0.8363
Ga 0.5000 0.1312 0.1637

[3]
The following is a PBE calculation of a relaxed Ce2AlGa6 crystal, from the Alexandria database.

Calculated values
Fermi-level density of states: 1.290 states/eV/atom
DFT formation energy: -0.260 eV/atom
total DFT energy (no corrections): -4.012 eV/atom

Unit cell a=4.6974 b=4.6974 c=8.6301 alpha=90.00 beta=90.00 gamma=90.00
Element x y z (fractional)
Ce 0.5000 0.5000 0.7531
Ce 0.5000 0.5000 0.2469
Al 0.0000 0.0000 0.0000
Ga 0.5000 0.0000 0.0000
Ga 0.5000 0.0000 0.5000
Ga 0.0000 0.5000 0.0000
Ga 0.0000 0.5000 0.5000
Ga 0.0000 0.0000 0.6918
Ga 0.0000 0.0000 0.3082

[4]
The following is a PBE calculation of a relaxed CeAl2Ga crystal, from the Alexandria database.

Calculated values
Fermi-level density of states: 1.458 states/eV/atom
DFT formation energy: -0.370 eV/atom
total DFT energy (no corrections): -4.482 eV/atom

Unit cell a=4.4946 b=5.8065 c=6.8089 alpha=90.00 beta=90.00 gamma=112.77
Element x y z (fractional)
Ce 0.7605 0.5211 0.5000
Ce 0.5699 0.1397 0.0000
Al 0.0514 0.1029 0.6923
Al 0.0514 0.1029 0.3077
Al 0.8612 0.7223 0.0000
Al 0.4727 0.9454 0.5000
Ga 0.2808 0.5616 0.8066
Ga 0.2808 0.5616 0.1934

[5]
The following is a PBE calculation of a relaxed Ce2AlGa2 crystal, from the Alexandria database.

Calculated values
Fermi-level density of states: 1.839 states/eV/atom
DFT formation energy: -0.492 eV/atom
total DFT energy (no corrections): -4.825 eV/atom

Unit cell a=4.4630 b=5.8268 c=9.6643 alpha=78.14 beta=76.65 gamma=67.48
Element x y z (fractional)
Ce 0.0704 0.2148 0.6444
Ce 0.8051 0.3338 0.0559
Ce 0.9296 0.7852 0.3556
Ce 0.1949 0.6662 0.9441
Al 0.2402 0.2236 0.2961
Al 0.7598 0.7764 0.7039
Ga 0.6266 0.3318 0.4150
Ga 0.4944 0.8811 0.1301
Ga 0.3734 0.6682 0.5850
Ga 0.5056 0.1189 0.8699

[6]
The following is a PBE calculation of a relaxed Ce4AlGa2 crystal, from the Alexandria database.

Calculated values
Fermi-level density of states: 2.637 states/eV/atom
DFT formation energy: -0.122 eV/atom
total DFT energy (no corrections): -4.912 eV/atom

Unit cell a=4.6689 b=4.6689 c=10.4518 alpha=77.09 beta=77.09 gamma=60.00
Element x y z (fractional)
Ce 0.3831 0.3831 0.8506
Ce 0.1891 0.1891 0.4328
Ce 0.8109 0.8109 0.5672
Ce 0.6169 0.6169 0.1494
Al 0.0000 0.0000 0.0000
Ga 0.0918 0.0918 0.7247
Ga 0.9082 0.9082 0.2753

[7]
The following is a PBE calculation of a relaxed Ce4Al7Ga6 crystal, from the Alexandria database.

Calculated values
Fermi-level density of states: 1.153 states/eV/atom
DFT formation energy: -0.453 eV/atom
total DFT energy (no corrections): -4.458 eV/atom

Unit cell a=7.6179 b=7.6179 c=7.6179 alpha=109.47 beta=109.47 gamma=109.47
Element x y z (fractional)
Ce 0.5000 0.0000 0.0000
Ce 0.5000 0.5000 0.5000
Ce 0.0000 0.5000 0.0000
Ce 0.0000 0.0000 0.5000
Al 0.7500 0.5000 0.2500
Al 0.2500 0.7500 0.5000
Al 0.5000 0.7500 0.2500
Al 0.7500 0.2500 0.5000
Al 0.2500 0.5000 0.7500
Al 0.5000 0.2500 0.7500
Al 0.0000 0.0000 0.0000
Ga 0.6913 0.0000 0.6913
Ga 0.6913 0.6913 0.0000
Ga 0.0000 0.3087 0.3087
Ga 0.3087 0.0000 0.3087
Ga 0.3087 0.3087 0.0000
Ga 0.0000 0.6913 0.6913

[8]
The following is a PBE calculation of a relaxed Ce2AlGa6 crystal, from the Alexandria database.

Calculated values
Fermi-level density of states: 1.102 states/eV/atom
DFT formation energy: -0.446 eV/atom
total DFT energy (no corrections): -4.199 eV/atom

Unit cell a=6.3649 b=6.3649 c=6.3649 alpha=60.00 beta=60.00 gamma=60.00
Element x y z (fractional)
Ce 0.2500 0.2500 0.2500
Ce 0.7500 0.7500 0.7500
Al 0.0000 0.0000 0.0000
Ga 0.2889 0.7111 0.7111
Ga 0.2889 0.7111 0.2889
Ga 0.7111 0.2889 0.7111
Ga 0.7111 0.2889 0.2889
Ga 0.7111 0.7111 0.2889
Ga 0.2889 0.2889 0.7111